(1)
Material: TbCeTlGe
Method: DFT, GGA-PBE
State: optimized geometry Values from VASP.

```
&SYSTEM
  ibrav = 0, nat = 4, ntyp = 4
/
ATOMIC_SPECIES
Tb 158.93 Tb.upf
Ce 140.12 Ce.upf
Tl 204.38 Tl.upf
Ge 72.64 Ge.upf
ATOMIC_POSITIONS crystal
Tb 0.000 0.000 0.000
Ce 0.500 0.500 0.500
Tl 0.750 0.750 0.750
Ge 0.250 0.250 0.250
CELL_PARAMETERS angstrom
0.000 3.737 3.737
3.737 0.000 3.737
3.737 3.737 0.000
```

Results
Energy: -4.786 eV per atom
SG: F-43m (216)
ΔH_f (0 K): -0.40 eV/atom



(2)
Material: TbCeZn2Ge2
Method: DFT, GGA-PBE
State: optimized geometry Values from VASP.

```
&SYSTEM
  ibrav = 0, nat = 6, ntyp = 4
/
ATOMIC_SPECIES
Tb 158.93 Tb.upf
Ce 140.12 Ce.upf
Zn 65.41 Zn.upf
Ge 72.64 Ge.upf
ATOMIC_POSITIONS crystal
Tb 0.000 0.000 0.000
Ce 0.000 0.000 0.500
Zn 0.333 0.667 0.745
Zn 0.667 0.333 0.255
Ge 0.333 0.667 0.240
Ge 0.667 0.333 0.760
CELL_PARAMETERS angstrom
4.223 0.000 0.000
-2.112 3.657 0.000
0.000 0.000 8.196
```

Results
Energy: -4.337 eV per atom
SG: P-3m1 (164)
ΔH_f (0 K): -0.61 eV/atom



(3)
Material: TbCeZnGe
Method: DFT, GGA-PBE
State: optimized geometry Values from VASP.

```
&SYSTEM
  ibrav = 0, nat = 4, ntyp = 4
/
ATOMIC_SPECIES
Tb 158.93 Tb.upf
Ce 140.12 Ce.upf
Zn 65.41 Zn.upf
Ge 72.64 Ge.upf
ATOMIC_POSITIONS crystal
Tb 0.000 0.000 0.000
Ce 0.500 0.500 0.500
Zn 0.250 0.250 0.250
Ge 0.750 0.750 0.750
CELL_PARAMETERS angstrom
0.000 3.596 3.596
3.596 0.000 3.596
3.596 3.596 0.000
```

Results
Energy: -4.595 eV per atom
SG: F-43m (216)
ΔH_f (0 K): -0.48 eV/atom



(4)
Material: CeTc2Ge4
Method: DFT, GGA-PBE
State: optimized geometry Values from VASP.

```
&SYSTEM
  ibrav = 0, nat = 14, ntyp = 3
/
ATOMIC_SPECIES
Ce 140.12 Ce.upf
Tc 98.00 Tc.upf
Ge 72.64 Ge.upf
ATOMIC_POSITIONS crystal
Ce 0.000 0.000 0.000
Ce 0.750 0.250 0.500
Tc 0.207 0.625 0.082
Tc 0.375 0.457 0.582
Tc 0.543 0.125 0.918
Tc 0.875 0.793 0.418
Ge 0.000 0.441 0.270
Ge 0.171 0.731 0.730
Ge 0.191 0.250 0.770
Ge 0.269 0.000 0.441
Ge 0.481 0.421 0.230
Ge 0.559 0.829 0.559
Ge 0.579 0.809 0.059
Ge 0.750 0.519 0.941
CELL_PARAMETERS angstrom
-3.888 3.888 4.090
3.888 -3.888 4.090
3.888 3.888 -4.090
```

Results
Energy: -6.669 eV per atom
SG: I-42d (122)
ΔH_f (0 K): -0.22 eV/atom